Record 1
CaTe4Pb3 | GGA-PBE | relaxed

abc: 6.512 9.939 10.347
angles: 90.00 90.00 90.00
Fractional coordinates of all 16 atoms:
Ca (0.250, 0.250, 0.182)
Ca (0.750, 0.750, 0.818)
Te (0.250, 0.250, 0.879)
Te (0.250, 0.514, 0.347)
Te (0.250, 0.750, 0.821)
Te (0.250, 0.986, 0.347)
Te (0.750, 0.014, 0.653)
Te (0.750, 0.250, 0.179)
Te (0.750, 0.486, 0.653)
Te (0.750, 0.750, 0.121)
Pb (0.250, 0.014, 0.664)
Pb (0.250, 0.486, 0.664)
Pb (0.250, 0.750, 0.150)
Pb (0.750, 0.250, 0.850)
Pb (0.750, 0.514, 0.336)
Pb (0.750, 0.986, 0.336)

Properties
ΔE_f (raw)   -608 meV/atom
Space-group type   No. 59
Raw total energy   -3.82 eV/atom

=====

Record 2
CaTe2Pb | GGA-PBE | relaxed

abc: 7.916 7.916 7.916
angles: 90.00 90.00 90.00
Fractional coordinates of all 16 atoms:
Ca (0.000, 0.000, 0.000)
Ca (0.000, 0.500, 0.500)
Ca (0.500, 0.000, 0.500)
Ca (0.500, 0.500, 0.000)
Te (0.000, 0.000, 0.500)
Te (0.000, 0.500, 0.000)
Te (0.250, 0.250, 0.750)
Te (0.250, 0.750, 0.250)
Te (0.500, 0.000, 0.000)
Te (0.500, 0.500, 0.500)
Te (0.750, 0.250, 0.250)
Te (0.750, 0.750, 0.750)
Pb (0.250, 0.250, 0.250)
Pb (0.250, 0.750, 0.750)
Pb (0.750, 0.250, 0.750)
Pb (0.750, 0.750, 0.250)

Properties
ΔE_f (raw)   -311 meV/atom
Space-group type   No. 216
Raw total energy   -3.31 eV/atom
Fermi-level density of states   10.620 states/eV/cell